[1]
First-principles (PBE-GGA) data for a relaxed structure of Mn2ZnAsS, as listed in Alexandria via LeMat-Bulk.

a b c (Å): 4.4451 4.4451 4.6199
angles (deg): 90.00 90.00 90.00
With the nearest neighbours (Å) after each atom.
Space group P4/mmm (No. 123)
Symmetry-distinct sites (fractional):
Mn (0.0000, 0.5000, 0.0000) x2  2 S 2.22
Zn (0.0000, 0.0000, 0.5000) x1  2 S 2.31
As (0.5000, 0.5000, 0.5000) x1  4 Zn 3.14, 8 Mn 3.21
S (0.0000, 0.0000, 0.0000) x1  4 Mn 2.22, 2 Zn 2.31


[2]
First-principles (PBE-GGA) data for a relaxed structure of ZrMnAs2S, as listed in Alexandria via LeMat-Bulk.

a b c (Å): 5.2309 5.2309 4.8766
angles (deg): 90.00 90.00 90.00
With the nearest neighbours (Å) after each atom.
Space group P4/mmm (No. 123)
Symmetry-distinct sites (fractional):
Zr (0.0000, 0.0000, 0.0000) x1  2 S 2.44, 4 As 2.62
Mn (0.5000, 0.5000, 0.5000) x1  8 As 3.58, 4 S 3.70
As (0.0000, 0.5000, 0.0000) x2  2 Zr 2.62
S (0.0000, 0.0000, 0.5000) x1  2 Zr 2.44


[3]
First-principles (PBE-GGA) data for a relaxed structure of MnSbAs2, as listed in Alexandria via LeMat-Bulk.

a b c (Å): 6.7792 3.9019 6.7893
angles (deg): 90.00 109.41 90.00
With the nearest neighbours (Å) after each atom.
Space group C2/m (No. 12)
Symmetry-distinct sites (fractional):
Mn (0.0000, 0.0000, 0.0000) x2  6 As 2.65
Sb (0.0000, 0.5000, 0.5000) x2  6 As 2.90
As (0.2386, 0.5000, 0.2166) x4  3 Mn 2.65, 3 Sb 2.90


[4]
First-principles (PBE-GGA) data for a relaxed structure of MnSbAs2, as listed in Alexandria via LeMat-Bulk.

a b c (Å): 2.9968 2.9968 8.4192
angles (deg): 90.00 90.00 90.00
With the nearest neighbours (Å) after each atom.
Space group P4/mmm (No. 123)
Symmetry-distinct sites (fractional):
Mn (0.0000, 0.0000, 0.0000) x1  8 As 2.55
Sb (0.0000, 0.0000, 0.5000) x1  4 Sb 3.00
As (0.5000, 0.5000, 0.1688) x2  4 Mn 2.55, 1 As 2.84


[5]
First-principles (PBE-GGA) data for a relaxed structure of MnSbAs2, as listed in Alexandria via LeMat-Bulk.

a b c (Å): 5.8756 5.8756 11.2806
angles (deg): 90.00 90.00 90.00
With the nearest neighbours (Å) after each atom.
Space group I-42d (No. 122)
Symmetry-distinct sites (fractional):
Mn (0.0000, 0.0000, 0.0000) x4  4 As 2.29
Sb (0.0000, 0.0000, 0.5000) x4  4 As 2.78
As (0.1776, 0.2500, 0.1250) x8  2 Mn 2.29


[6]
First-principles (PBE-GGA) data for a relaxed structure of MnSbAs2, as listed in Alexandria via LeMat-Bulk.

a b c (Å): 8.3825 3.2777 6.1807
angles (deg): 90.00 109.17 90.00
With the nearest neighbours (Å) after each atom.
Space group Cm (No. 8)
Symmetry-distinct sites (fractional):
Mn (0.0000, 0.0000, 0.0000) x2  5 As 2.42-2.46
Sb (0.1222, 0.5000, 0.3721) x2  2 Mn 2.73, 2 As 2.88-2.92
As (0.2916, 0.0000, 0.0146) x2  3 Mn 2.42, 1 As 2.66
As (0.4331, 0.0000, 0.6864) x2  2 Mn 2.46, 1 As 2.66


[7]
First-principles (PBE-GGA) data for a relaxed structure of MnSbAs2, as listed in Alexandria via LeMat-Bulk.

a b c (Å): 3.2251 3.2251 7.4850
angles (deg): 90.00 90.00 90.00
With the nearest neighbours (Å) after each atom.
Space group P4mm (No. 99)
Symmetry-distinct sites (fractional):
Mn (0.0000, 0.0000, 0.0000) x1  5 As 2.55-2.78
Sb (0.5000, 0.5000, 0.2473) x1  4 Mn 2.94, 1 As 3.00, 4 Sb 3.23
As (0.0000, 0.0000, 0.6290) x1  1 Mn 2.78, 4 As 2.80
As (0.5000, 0.5000, 0.8465) x1  4 Mn 2.55, 4 As 2.80


[8]
First-principles (PBE-GGA) data for a relaxed structure of Mn2SbAs2, as listed in Alexandria via LeMat-Bulk.

a b c (Å): 4.2499 4.2499 9.2137
angles (deg): 90.00 90.00 90.00
With the nearest neighbours (Å) after each atom.
Space group I4/mmm (No. 139)
Symmetry-distinct sites (fractional):
Mn (0.0000, 0.5000, 0.2500) x4  4 As 2.37
Sb (0.0000, 0.0000, 0.0000) x2  8 Mn 3.13, 10 As 3.26-3.35
As (0.0000, 0.0000, 0.3634) x4  4 Mn 2.37, 1 As 2.52


The formation energy from raw total energies results, record by record, are as follows: 0.3325; 0.2574; 0.0405; 0.1104; 0.2913; 0.0479; 0.1721; 0.1357 eV/atom.
The total DFT energy (no corrections) results, record by record, are as follows: -5.346; -5.971; -5.607; -5.537; -5.356; -5.600; -5.476; -6.216 eV per atom.